# VGaReO2 PBE+U relaxed
# Total moment: 0.38 μB/f.u.
# VASP energy: -5.74 eV/atom
data_VGaReO2
_cell_length_a 3.6689
_cell_length_b 3.6689
_cell_length_c 5.3625
_cell_angle_alpha 90.00
_cell_angle_beta 90.00
_cell_angle_gamma 90.00
_symmetry_space_group_name_H-M 'P 4/m m m'
_symmetry_Int_Tables_number 123
_symmetry_space_group_name_Hall '-P 4 2'
loop_
_atom_site_label
_atom_site_type_symbol
_atom_site_fract_x
_atom_site_fract_y
_atom_site_fract_z
V1 V 0.0000 0.0000 0.0000
Ga1 Ga 0.5000 0.5000 0.5000
Re1 Re 0.5000 0.5000 0.0000
O1 O 0.0000 0.5000 0.5000